VASP calculation (GGA-PBE) on an optimized crystal structure of Rb2SbAu.

Output
Final energy: -0.09560 hartree per atom
Total magnetic moment: 0.00 μB per formula unit
Space-group type: I-42d, No. 122
Formation energy from raw total energies: -0.268 eV/atom
Crystal system: tetragonal

Lattice parameters (Å, degrees): 13.1591 13.1591 9.6700 47.12 47.12 90.00
Sites, in units of the cell vectors:
Sb (0.5000, 0.5000, 0.0000)
Sb (0.2500, 0.7500, 0.5000)
Au (0.0000, 0.0000, 0.0000)
Au (0.7500, 0.2500, 0.5000)
Rb (0.8228, 0.1250, 0.2500)
Rb (0.9272, 0.6250, 0.2500)
Rb (0.3750, 0.1772, 0.7500)
Rb (0.8750, 0.0728, 0.7500)



VASP calculation (GGA-PBE) on an optimized crystal structure of Rb2Sb2Au.

Output
Final energy: -0.11023 hartree per atom
Total magnetic moment: 0.00 μB per formula unit
Space-group type: P4/mbm, No. 127
Formation energy from raw total energies: -0.308 eV/atom
Crystal system: tetragonal

Lattice parameters (Å, degrees): 7.4619 7.4619 6.0817 90.00 90.00 90.00
Sites, in units of the cell vectors:
Sb (0.3567, 0.8567, 0.0000)
Sb (0.8567, 0.6433, 0.0000)
Sb (0.6433, 0.1433, 0.0000)
Sb (0.1433, 0.3567, 0.0000)
Au (0.0000, 0.0000, 0.0000)
Au (0.5000, 0.5000, 0.0000)
Rb (0.1683, 0.6683, 0.5000)
Rb (0.6683, 0.8317, 0.5000)
Rb (0.8317, 0.3317, 0.5000)
Rb (0.3317, 0.1683, 0.5000)



VASP calculation (GGA-PBE) on an optimized crystal structure of RbSb8Au2.

Output
Final energy: -0.13693 hartree per atom
Total magnetic moment: 0.00 μB per formula unit
Space-group type: P-1, No. 2
Formation energy from raw total energies: -0.044 eV/atom
Crystal system: triclinic

Lattice parameters (Å, degrees): 9.5937 6.8603 6.3023 81.01 105.58 70.69
Sites, in units of the cell vectors:
Rb (0.0000, 0.0000, 0.0000)
Sb (0.2674, 0.5059, 0.9164)
Sb (0.8193, 0.8756, 0.4728)
Sb (0.4129, 0.8220, 0.9699)
Sb (0.5871, 0.1780, 0.0301)
Sb (0.1807, 0.1244, 0.5272)
Sb (0.7326, 0.4941, 0.0836)
Sb (0.7026, 0.5376, 0.5260)
Sb (0.2974, 0.4624, 0.4740)
Au (0.4090, 0.8543, 0.4170)
Au (0.5910, 0.1457, 0.5830)



VASP calculation (GGA-PBE) on an optimized crystal structure of Rb4SbAu.

Output
Final energy: -0.08087 hartree per atom
Total magnetic moment: 0.00 μB per formula unit
Space-group type: C2/c, No. 15
Formation energy from raw total energies: -0.322 eV/atom
Crystal system: monoclinic

Lattice parameters (Å, degrees): 7.9521 9.7230 9.8561 114.10 107.44 102.14
Sites, in units of the cell vectors:
Rb (0.0140, 0.2552, 0.8934)
Rb (0.7718, 0.6981, 0.6479)
Rb (0.3794, 0.6382, 0.8934)
Rb (0.3761, 0.9498, 0.6479)
Rb (0.6239, 0.0502, 0.3521)
Rb (0.6206, 0.3618, 0.1066)
Rb (0.2282, 0.3019, 0.3521)
Rb (0.9860, 0.7448, 0.1066)
Sb (0.3894, 0.6394, 0.2788)
Sb (0.6106, 0.3606, 0.7212)
Au (0.2383, 0.9883, 0.9766)
Au (0.7617, 0.0117, 0.0234)



VASP calculation (GGA-PBE) on an optimized crystal structure of RbSbAu3.

Output
Final energy: -0.11486 hartree per atom
Total magnetic moment: 0.00 μB per formula unit
Space-group type: Pm-3m, No. 221
Formation energy from raw total energies: -0.141 eV/atom
Crystal system: cubic

Lattice parameters (Å, degrees): 5.4084 5.4084 5.4084 90.00 90.00 90.00
Sites, in units of the cell vectors:
Sb (0.0000, 0.0000, 0.0000)
Au (0.0000, 0.5000, 0.0000)
Au (0.0000, 0.0000, 0.5000)
Au (0.5000, 0.0000, 0.0000)
Rb (0.5000, 0.5000, 0.5000)



VASP calculation (GGA-PBE) on an optimized crystal structure of RbSbAu2.

Output
Final energy: -0.11688 hartree per atom
Total magnetic moment: 0.00 μB per formula unit
Space-group type: Cm, No. 8
Formation energy from raw total energies: -0.269 eV/atom
Crystal system: monoclinic

Lattice parameters (Å, degrees): 4.7432 6.6300 4.9978 106.09 118.33 90.00
Sites, in units of the cell vectors:
Rb (0.2408, 0.7518, 0.4816)
Sb (0.4509, 0.3235, 0.9018)
Au (0.0619, 0.1949, 0.1238)
Au (0.7464, 0.2299, 0.4928)



Question: The highest final energy belongs to which entry?
Answer: Rb4SbAu